First-principles (PBE-GGA) data for a relaxed structure of RbTh2C, as listed in the Alexandria database.

Properties
Space-group type: R-3m
Energy relative to the elements in eV per atom: 0.094

Cell and atoms, written as extended XYZ:
```
4
Lattice="1.864 1.076 11.037 -1.864 1.076 11.037 0.000 -2.152 11.037" Properties=species:S:1:pos:R:3 pbc="T T T"
Rb 0.000 0.000 0.000
Th 0.000 0.000 4.111
Th 0.000 0.000 29.000
C 0.000 0.000 16.555
```